ZrTlNiPd PBE relaxed; crystal system = cubic; symmetry = F-43m; uncorrected energy = -0.421 Ry per atom
1.0
0.000 3.276 3.276
3.276 0.000 3.276
3.276 3.276 0.000
Zr Ni Tl Pd
1 1 1 1
Cartesian
3.276 3.276 3.276 Zr
4.914 4.914 4.914 Ni
0.000 0.000 0.000 Tl
1.638 1.638 1.638 Pd

NdFeSi2Tc PBE relaxed; crystal system = tetragonal; symmetry = I-4m2; uncorrected energy = -0.548 Ry per atom
1.0
-2.037 2.037 5.121
2.037 -2.037 5.121
2.037 2.037 -5.121
Tc Nd Fe Si
1 1 1 2
Cartesian
0.000 0.000 5.121 Tc
0.000 2.037 2.561 Nd
0.000 0.000 0.000 Fe
2.037 0.000 3.856 Si
2.037 0.000 1.266 Si

SmGdEr2In2 PBE relaxed; crystal system = hexagonal; symmetry = P-6m2; uncorrected energy = -0.319 Ry per atom
1.0
-5.342 -0.257 -0.772
3.376 -1.370 -3.991
-0.008 -6.381 2.183
In Er Gd Sm
2 2 1 1
Cartesian
0.466 -4.189 -1.826 In
0.000 0.000 0.000 In
-2.438 -2.221 -1.300 Er
-2.442 -5.416 -0.206 Er
0.470 -0.999 -2.918 Gd
-0.004 -3.190 1.092 Sm

HoTmS2 PBE relaxed; crystal system = tetragonal; symmetry = P4/mmm; energy relative to the lowest polymorph listed for this composition = 0.21 kJ/mol of atoms; uncorrected energy = -0.461 Ry per atom
1.0
-3.050 -0.302 -2.341
-0.037 -3.819 0.541
-3.340 0.637 4.268
S Tm Ho
2 1 1
Cartesian
-3.214 -1.742 1.234 S
0.000 0.000 0.000 S
-1.544 -2.060 -0.900 Tm
-1.670 0.319 2.134 Ho

NbPdAu PBE relaxed; ΔE_f = 0.213 eV per atom; crystal system = cubic; symmetry = F-43m; energy relative to the lowest polymorph listed for this composition = 0.00 kJ/mol of atoms; uncorrected energy = -0.438 Ry per atom
1.0
-4.315 -0.676 -0.048
-2.697 2.984 1.704
-2.555 2.384 -2.621
Au Nb Pd
1 1 1
Cartesian
-2.392 1.173 -0.241 Au
-7.176 3.519 -0.724 Nb
0.000 0.000 0.000 Pd

ZnCdSnS3 PBE relaxed; crystal system = orthorhombic; symmetry = Cmcm; energy relative to the lowest polymorph listed for this composition = 0.00 kJ/mol of atoms; uncorrected energy = -0.261 Ry per atom
1.0
3.862 0.000 0.000
1.931 6.495 0.000
0.000 0.000 10.421
Zn Cd S Sn
2 2 6 2
Cartesian
1.931 0.261 7.816 Zn
3.862 6.235 2.605 Zn
0.000 0.000 0.000 Cd
0.000 0.000 5.211 Cd
1.931 1.758 6.005 S
1.931 1.758 9.627 S
3.862 4.737 0.795 S
3.862 4.737 4.416 S
1.931 5.365 7.816 S
3.862 1.131 2.605 S
1.931 3.422 2.605 Sn
3.862 3.073 7.816 Sn

Pd PBE relaxed; ΔE_f = 0.001 eV per atom; crystal system = tetragonal; symmetry = I4/mmm; energy relative to the lowest polymorph listed for this composition = 0.12 kJ/mol of atoms; uncorrected energy = -0.380 Ry per atom
1.0
0.696 2.604 -0.512
2.167 -0.253 1.663
-0.309 -1.781 -2.130
Pd
1
Cartesian
0.000 0.000 0.000 Pd

DyNb2Si2Sb PBE relaxed; crystal system = tetragonal; symmetry = P4mm; uncorrected energy = -0.509 Ry per atom
1.0
4.009 0.000 0.000
0.000 4.009 0.000
0.000 0.000 7.799
Si Dy Nb Sb
2 1 2 1
Cartesian
2.004 2.004 1.773 Si
0.000 0.000 5.805 Si
0.000 0.000 2.740 Dy
2.004 0.000 7.750 Nb
0.000 2.004 7.750 Nb
2.004 2.004 5.379 Sb

Nd2CuGe4Pd PBE relaxed; crystal system = orthorhombic; symmetry = Amm2; uncorrected energy = -0.389 Ry per atom
1.0
-0.498 -3.692 2.229
7.650 1.626 4.401
4.644 3.500 6.835
Nd Ge Cu Pd
2 4 1 1
Cartesian
1.084 -1.290 2.333 Nd
11.034 4.600 10.085 Nd
6.614 2.757 6.045 Ge
5.455 0.532 6.327 Ge
3.050 1.272 2.787 Ge
8.940 1.985 9.513 Ge
8.288 3.455 7.575 Cu
3.715 -0.193 4.737 Pd

PrPaRe PBE relaxed; ΔE_f = 0.416 eV per atom; crystal system = cubic; symmetry = F-43m; uncorrected energy = -0.623 Ry per atom
1.0
0.000 3.437 3.437
3.437 0.000 3.437
3.437 3.437 0.000
Pa Re Pr
1 1 1
Cartesian
5.155 5.155 5.155 Pa
0.000 0.000 0.000 Re
1.718 1.718 1.718 Pr

SbMo2 PBE relaxed; crystal system = cubic; symmetry = Fd-3m; energy relative to the lowest polymorph listed for this composition = 237.43 kJ/mol of atoms; uncorrected energy = -0.419 Ry per atom
1.0
-7.092 -4.696 2.660
0.768 -8.744 1.541
-0.413 -3.108 8.342
Mo Sb
4 2
Cartesian
-2.733 -7.759 8.875 Mo
-2.142 -10.578 5.474 Mo
-6.072 -8.554 6.034 Mo
-2.526 -6.206 4.704 Mo
-3.368 -8.274 6.272 Sb
-1.684 -4.137 3.136 Sb

NpSnIr PBE relaxed; crystal system = hexagonal; symmetry = P-62m; uncorrected energy = -0.661 Ry per atom
1.0
-0.987 -7.010 -2.142
3.253 4.835 -4.554
3.602 -0.976 1.536
Np Sn Ir
3 3 3
Cartesian
3.706 2.344 -1.900 Np
1.223 -4.594 -0.486 Np
2.740 -1.389 -2.006 Np
1.690 -1.622 -4.992 Sn
-0.251 -1.784 -0.545 Sn
0.828 1.230 -1.159 Sn
1.801 -0.488 0.768 Ir
1.840 0.887 -3.750 Ir
0.427 -3.062 -2.946 Ir

TmHfTa2Ge2 PBE relaxed; crystal system = tetragonal; symmetry = I4mm; uncorrected energy = -0.620 Ry per atom
1.0
-0.248 -6.793 4.285
-4.667 -3.627 5.444
1.036 3.974 -6.908
Ta Ge Hf Tm
2 2 1 1
Cartesian
-1.824 0.156 -0.715 Ta
0.385 -1.428 -1.295 Ta
-0.657 -1.393 1.301 Ge
-4.266 -9.046 8.446 Ge
-3.306 -7.011 6.546 Hf
-1.583 -3.356 3.134 Tm

LuMgNi PBE relaxed; crystal system = cubic; symmetry = F-43m; uncorrected energy = -0.247 Ry per atom
1.0
0.000 3.272 3.272
3.272 0.000 3.272
3.272 3.272 0.000
Lu Mg Ni
1 1 1
Cartesian
0.000 0.000 0.000 Lu
1.636 1.636 1.636 Mg
4.907 4.907 4.907 Ni

Ba2BiIrO6 PBE relaxed; crystal system = cubic; symmetry = Fm-3m; uncorrected energy = -0.466 Ry per atom
1.0
0.000 4.247 4.247
4.247 0.000 4.247
4.247 4.247 0.000
Bi O Ba Ir
1 6 2 1
Cartesian
4.247 4.247 4.247 Bi
6.516 4.247 4.247 O
4.247 4.247 1.979 O
4.247 4.247 6.516 O
4.247 1.979 4.247 O
4.247 6.516 4.247 O
1.979 4.247 4.247 O
2.124 2.124 2.124 Ba
6.371 6.371 6.371 Ba
0.000 0.000 0.000 Ir

SbAs2Au PBE relaxed; crystal system = cubic; symmetry = F-43m; uncorrected energy = -0.282 Ry per atom
1.0
0.000 3.468 3.468
3.468 0.000 3.468
3.468 3.468 0.000
Sb Au As
1 1 2
Cartesian
1.734 1.734 1.734 Sb
3.468 3.468 3.468 Au
5.201 5.201 5.201 As
0.000 0.000 0.000 As

CdHgAsO PBE relaxed; crystal system = tetragonal; symmetry = P4/nmm; energy relative to the lowest polymorph listed for this composition = 35.27 kJ/mol of atoms; uncorrected energy = -0.187 Ry per atom
1.0
4.296 0.000 0.000
0.000 4.296 0.000
0.000 0.000 8.974
Hg Cd As O
2 2 2 2
Cartesian
2.148 0.000 0.823 Hg
0.000 2.148 8.150 Hg
2.148 2.148 4.487 Cd
0.000 0.000 4.487 Cd
2.148 0.000 6.251 As
0.000 2.148 2.723 As
2.148 2.148 0.000 O
0.000 0.000 0.000 O

In2AuBr PBE relaxed; crystal system = orthorhombic; symmetry = Amm2; uncorrected energy = -0.210 Ry per atom
1.0
-3.659 1.379 -2.086
-3.200 -0.162 5.504
-1.483 3.643 5.009
In Au Br
2 1 1
Cartesian
-1.783 1.325 4.002 In
-4.740 2.853 5.490 In
-0.629 0.468 1.412 Au
-5.874 3.696 8.036 Br

LiLu2Tc PBE relaxed; crystal system = cubic; symmetry = F-43m; energy relative to the lowest polymorph listed for this composition = 2.54 kJ/mol of atoms; uncorrected energy = -0.369 Ry per atom
1.0
0.000 3.396 3.396
3.396 0.000 3.396
3.396 3.396 0.000
Lu Li Tc
2 1 1
Cartesian
0.000 0.000 0.000 Lu
5.094 5.094 5.094 Lu
3.396 3.396 3.396 Li
1.698 1.698 1.698 Tc

Gd2Mo PBE relaxed; ΔE_f = 1.208 eV per atom; crystal system = cubic; symmetry = Fd-3m; energy relative to the lowest polymorph listed for this composition = 0.00 kJ/mol of atoms; uncorrected energy = -0.405 Ry per atom
1.0
-3.372 -1.392 4.692
-5.514 -2.065 -0.812
-1.246 -5.690 1.180
Gd Mo
4 2
Cartesian
-3.576 -4.685 3.568 Gd
-5.710 -2.872 2.573 Gd
-6.333 -5.717 3.163 Gd
-4.646 -5.021 0.817 Gd
0.000 0.000 0.000 Mo
-2.533 -2.287 1.265 Mo